1.
# LiSmTlGe

A relaxed structure of LiSmTlGe (GGA-PBE, the Alexandria database).

Cell lengths 5.0911, 5.0911, 5.0911 Å; angles 60.00, 60.00, 60.00 degrees
Atoms (fractional coordinates):
Ge 0.2500 0.2500 0.2500
Li 0.5000 0.5000 0.5000
Sm 0.0000 0.0000 0.0000
Tl 0.7500 0.7500 0.7500

Formation energy ... -132 kJ/mol of formula units
M_tot ... 0.0 μB per formula unit

***

2.
# MnPbS2

A relaxed structure of MnPbS2 (GGA-PBE, the Alexandria database).

Cell lengths 6.9027, 6.9027, 5.9685 Å; angles 54.67, 54.67, 90.00 degrees
Atoms (fractional coordinates):
S 0.8750 0.7644 0.7500
Mn 0.5000 0.5000 0.0000
S 0.3750 0.4856 0.7500
Pb 0.0000 0.0000 0.0000
S 0.2356 0.6250 0.2500
S 0.5144 0.1250 0.2500
Pb 0.7500 0.2500 0.5000
Mn 0.2500 0.7500 0.5000

Raw formation energy ... -0.255 eV per atom
M_tot ... 0.0 μB per formula unit

***

3.
# CuHgAu14

A relaxed structure of CuHgAu14 (GGA-PBE, the Alexandria database).

Cell lengths 5.9724, 5.9724, 9.4772 Å; angles 90.00, 90.00, 121.03 degrees
Atoms (fractional coordinates):
Au 0.8789 0.1211 0.2578
Au 0.8779 0.6292 0.2532
Au 0.7125 0.7903 0.0000
Au 0.0397 0.4645 0.5000
Au 0.3736 0.6264 0.2468
Au 0.7119 0.2881 0.0000
Au 0.3708 0.1221 0.7468
Cu 0.0423 0.9577 0.5000
Au 0.3736 0.6264 0.7532
Au 0.2092 0.7908 0.0000
Hg 0.5369 0.4631 0.5000
Au 0.8779 0.6292 0.7468
Au 0.8789 0.1211 0.7422
Au 0.2097 0.2875 0.0000
Au 0.3708 0.1221 0.2532
Au 0.5355 0.9603 0.5000

Formation energy ... 36 kJ/mol of formula units
M_tot ... 0.0 μB per formula unit

***

4.
# In7Sb

A relaxed structure of In7Sb (GGA-PBE, the Alexandria database).

Cell lengths 6.7897, 6.7897, 6.7897 Å; angles 60.00, 60.00, 60.00 degrees
Atoms (fractional coordinates):
In 0.0000 0.5000 0.0000
In 0.0000 0.5000 0.5000
In 0.5000 0.0000 0.0000
In 0.5000 0.5000 0.0000
In 0.5000 0.0000 0.5000
In 0.0000 0.0000 0.5000
In 0.5000 0.5000 0.5000
Sb 0.0000 0.0000 0.0000

Raw formation energy ... 0.039 eV per atom
M_tot ... 0.0 μB per formula unit